7
Lattice="4.863 0.000 0.000 0.000 6.511 0.650 -2.432 -2.583 7.321" Properties=species:S:1:pos:R:3 comment="Ac4PdAu2, optimized geometry, DFT GGA-PBE" e_above_lowest_polymorph_mev_per_atom=0 total_magnetization_mub_per_fu=0.000 delta_e_f_mev_per_atom=-638 pbc="T T T"
Ac 2.432 -0.525 5.132
Ac 0.000 2.539 6.522
Au 2.432 2.965 4.368
Pd 0.000 0.000 0.000
Au 0.000 0.963 3.604
Ac 0.000 4.453 2.839
Ac 2.432 1.389 1.449